# PaTcIr, optimized geometry, DFT PBE-GGA
# * V: 64 Å³/f.u.
# * total DFT energy (no corrections): -9.47 eV per atom
# * energy relative to the elements: 28 kJ/mol of formula units
data_PaTcIr
_chemical_formula_sum 'Pa4 Tc4 Ir4'
_space_group_name_H-M_alt 'F -4 3 m'
_space_group_IT_number 216
_space_group_name_Hall 'F -4 2 3'
_cell_length_a 6.3491
_cell_length_b 6.3491
_cell_length_c 6.3491
_cell_angle_alpha 90.00
_cell_angle_beta 90.00
_cell_angle_gamma 90.00
loop_
_atom_site_label
_atom_site_type_symbol
_atom_site_fract_x
_atom_site_fract_y
_atom_site_fract_z
_atom_site_occupancy
Pa1 Pa 0.0000 0.0000 0.0000 1
Tc1 Tc 0.0000 0.0000 0.5000 1
Ir1 Ir 0.2500 0.2500 0.2500 1

=====

# MgZnAs2, optimized geometry, DFT PBE-GGA
# * V: 76 Å³/f.u.
# * total DFT energy (no corrections): -2.90 eV per atom
data_MgZnAs2
_chemical_formula_sum 'Mg4 Zn4 As8'
_space_group_name_H-M_alt 'F -4 3 m'
_space_group_IT_number 216
_space_group_name_Hall 'F -4 2 3'
_cell_length_a 6.7169
_cell_length_b 6.7169
_cell_length_c 6.7169
_cell_angle_alpha 90.00
_cell_angle_beta 90.00
_cell_angle_gamma 90.00
loop_
_atom_site_label
_atom_site_type_symbol
_atom_site_fract_x
_atom_site_fract_y
_atom_site_fract_z
_atom_site_occupancy
Mg1 Mg 0.0000 0.0000 0.0000 1
Zn1 Zn 0.2500 0.2500 0.2500 1
As1 As 0.0000 0.0000 0.5000 1
As2 As 0.2500 0.2500 0.7500 1

=====

# LuNb2Hg, optimized geometry, DFT PBE-GGA
# * V: 81 Å³/f.u.
# * total DFT energy (no corrections): -6.08 eV per atom
# * energy relative to the elements: 67 kJ/mol of formula units
data_LuNb2Hg
_chemical_formula_sum 'Lu4 Nb8 Hg4'
_space_group_name_H-M_alt 'F -4 3 m'
_space_group_IT_number 216
_space_group_name_Hall 'F -4 2 3'
_cell_length_a 6.8697
_cell_length_b 6.8697
_cell_length_c 6.8697
_cell_angle_alpha 90.00
_cell_angle_beta 90.00
_cell_angle_gamma 90.00
loop_
_atom_site_label
_atom_site_type_symbol
_atom_site_fract_x
_atom_site_fract_y
_atom_site_fract_z
_atom_site_occupancy
Lu1 Lu 0.0000 0.0000 0.0000 1
Nb1 Nb 0.0000 0.0000 0.5000 1
Nb2 Nb 0.2500 0.2500 0.2500 1
Hg1 Hg 0.2500 0.2500 0.7500 1

=====

# DyHfGa2Au2, optimized geometry, DFT PBE-GGA
# * V: 118 Å³/f.u.
# * total DFT energy (no corrections): -5.18 eV per atom
data_DyHfGa2Au2
_chemical_formula_sum 'Dy1 Hf1 Ga2 Au2'
_space_group_name_H-M_alt 'P -6 m 2'
_space_group_IT_number 187
_space_group_name_Hall 'P -6 2'
_cell_length_a 4.4788
_cell_length_b 4.4788
_cell_length_c 6.7937
_cell_angle_alpha 90.00
_cell_angle_beta 90.00
_cell_angle_gamma 120.00
loop_
_atom_site_label
_atom_site_type_symbol
_atom_site_fract_x
_atom_site_fract_y
_atom_site_fract_z
_atom_site_occupancy
Dy1 Dy 0.0000 0.0000 0.0000 1
Hf1 Hf 0.0000 0.0000 0.5000 1
Ga1 Ga 0.3333 0.6667 0.2966 1
Au1 Au 0.6667 0.3333 0.2537 1

=====

# Dy5ThBi6, optimized geometry, DFT PBE-GGA
# * V: 385 Å³/f.u.
# * total DFT energy (no corrections): -5.39 eV per atom
data_Dy5ThBi6
_chemical_formula_sum 'Dy10 Th2 Bi12'
_space_group_name_H-M_alt 'C 1 2/m 1'
_space_group_IT_number 12
_space_group_name_Hall '-C 2y'
_cell_length_a 7.7806
_cell_length_b 13.4722
_cell_length_c 7.7840
_cell_angle_alpha 90.00
_cell_angle_beta 109.49
_cell_angle_gamma 90.00
loop_
_atom_site_label
_atom_site_type_symbol
_atom_site_fract_x
_atom_site_fract_y
_atom_site_fract_z
_atom_site_occupancy
Dy1 Dy 0.0000 0.0000 0.0000 1
Dy2 Dy 0.0000 0.1674 0.5000 1
Dy3 Dy 0.0000 0.3355 0.0000 1
Th1 Th 0.0000 0.5000 0.5000 1
Bi1 Bi 0.2454 0.0000 0.7510 1
Bi2 Bi 0.2463 0.1689 0.2462 1

=====

# MgTlCdCo, optimized geometry, DFT PBE-GGA
# * V: 73 Å³/f.u.
# * total DFT energy (no corrections): -2.71 eV per atom
data_MgTlCdCo
_chemical_formula_sum 'Mg4 Tl4 Cd4 Co4'
_space_group_name_H-M_alt 'F -4 3 m'
_space_group_IT_number 216
_space_group_name_Hall 'F -4 2 3'
_cell_length_a 6.6269
_cell_length_b 6.6269
_cell_length_c 6.6269
_cell_angle_alpha 90.00
_cell_angle_beta 90.00
_cell_angle_gamma 90.00
loop_
_atom_site_label
_atom_site_type_symbol
_atom_site_fract_x
_atom_site_fract_y
_atom_site_fract_z
_atom_site_occupancy
Mg1 Mg 0.0000 0.0000 0.0000 1
Tl1 Tl 0.2500 0.2500 0.2500 1
Cd1 Cd 0.2500 0.2500 0.7500 1
Co1 Co 0.0000 0.0000 0.5000 1

=====

Q: Which of these has the lowest total DFT energy (no corrections)?
A: PaTcIr